A plane-wave DFT calculation with GGA-PBE was carried out for an optimized crystal structure of La5NdCd6.

Results
SG: Cmmm, No. 65
Crystal system: orthorhombic
Calculated volume in Å³/atom: 30.19
DFT formation energy in kcal/mol of atoms: -7.53

Lattice parameters (Å, degrees): 5.531 7.883 8.758 90.00 71.59 90.00
Each line ends with the local moment (μB).
Fractional positions:
Cd 0.835 0.753 0.329  0.01
Cd 0.835 0.247 0.329  0.01
Cd 0.500 0.246 0.000  0.01
Cd 0.500 0.754 0.000  0.01
Cd 0.165 0.753 0.671  0.01
Cd 0.165 0.247 0.671  0.01
Nd 0.000 0.000 0.000  0.14
La 0.668 0.500 0.663  0.13
La 0.333 0.000 0.334  0.13
La 0.000 0.500 0.000  0.12
La 0.667 0.000 0.666  0.13
La 0.332 0.500 0.337  0.13